Below is a relaxed structure of KCu2BiS3, with properties calculated at the GGA-PBE level.

Properties
Energy ... -4.054 eV per atom

The structure in CIF format:
```
data_KCu2BiS3
_chemical_formula_sum 'K4 Cu8 Bi4 S12'
_cell_length_a 6.4805
_cell_length_b 9.2644
_cell_length_c 10.5107
_cell_angle_alpha 89.86
_cell_angle_beta 89.41
_cell_angle_gamma 89.08
_symmetry_space_group_name_H-M 'P -1'
_symmetry_Int_Tables_number 2
loop_
_symmetry_equiv_pos_as_xyz
'x,y,z'
'-x,-y,-z'
loop_
_atom_site_label
_atom_site_fract_x
_atom_site_fract_y
_atom_site_fract_z
K1 0.1958 0.0769 0.3645
K2 0.2988 0.9330 0.8726
Cu1 0.0038 0.6315 0.8280
Cu2 0.0835 0.6641 0.4559
Cu3 0.4213 0.3358 0.9653
Cu4 0.4806 0.2200 0.6336
Bi1 0.0300 0.6850 0.1476
Bi2 0.4647 0.5405 0.6522
S1 0.1296 0.4326 0.3621
S2 0.1361 0.1819 0.6572
S3 0.1589 0.1981 0.0537
S4 0.3364 0.5709 0.8862
S5 0.3459 0.7897 0.5547
S6 0.3836 0.8148 0.1702
```